# 1
This record from the Alexandria database describes a geometry-optimized Gd4Ho2H structure. The functional is PBE.

abc: 4.839 4.839 17.139
angles: 90.00 90.00 90.00
Element x y z (fractional)
Gd  0.000  0.000  0.151
Gd  0.000  0.000  0.849
Gd  0.000  0.500  0.000
Gd  0.000  0.500  0.500
Gd  0.500  0.000  0.000
Gd  0.500  0.000  0.500
Gd  0.500  0.500  0.349
Gd  0.500  0.500  0.651
Ho  0.000  0.000  0.352
Ho  0.000  0.000  0.648
Ho  0.500  0.500  0.148
Ho  0.500  0.500  0.852
H  0.000  0.000  0.000
H  0.500  0.500  0.500

## Properties
- Space-group type: I4/mmm, No. 139
- Raw total energy: -9.750 eV per atom

***

# 2
This record from the Alexandria database describes a geometry-optimized Pa2BeGe4Pt3 structure. The functional is PBE.

abc: 4.127 4.127 10.666
angles: 90.00 90.00 90.00
Element x y z (fractional)
Pa  0.000  0.500  0.237
Pa  0.500  0.000  0.763
Be  0.500  0.500  0.000
Ge  0.000  0.000  0.500
Ge  0.000  0.500  0.872
Ge  0.500  0.000  0.128
Ge  0.500  0.500  0.500
Pt  0.000  0.000  0.000
Pt  0.000  0.500  0.645
Pt  0.500  0.000  0.355

## Properties
- Energy of formation from the pure elements: -0.60 eV/atom
- Space-group type: P-4m2, No. 115

***

# 3
This record from the Alexandria database describes a geometry-optimized TaMo2Pt2 structure. The functional is PBE.

abc: 7.752 7.752 2.771
angles: 90.00 90.00 90.00
Element x y z (fractional)
Ta  0.000  0.000  0.000
Ta  0.500  0.500  0.000
Mo  0.120  0.380  0.000
Mo  0.380  0.880  0.000
Mo  0.620  0.120  0.000
Mo  0.880  0.620  0.000
Pt  0.175  0.675  0.500
Pt  0.325  0.175  0.500
Pt  0.675  0.825  0.500
Pt  0.825  0.325  0.500

## Properties
- Energy of formation from the pure elements: -0.03 eV/atom
- Space-group type: P4/mbm, No. 127

***

# 4
This record from the Alexandria database describes a geometry-optimized BeSi4 structure. The functional is PBE.

abc: 5.292 5.292 5.292
angles: 90.00 90.00 90.00
Element x y z (fractional)
Be  0.000  0.000  0.000
Be  0.500  0.500  0.500
Si  0.250  0.250  0.250
Si  0.250  0.250  0.750
Si  0.250  0.750  0.250
Si  0.250  0.750  0.750
Si  0.750  0.250  0.250
Si  0.750  0.250  0.750
Si  0.750  0.750  0.250
Si  0.750  0.750  0.750

## Properties
- Space-group type: Im-3m, No. 229
- Energy relative to the elements, uncorrected: 0.4023 eV per atom

***

# 5
This record from the Alexandria database describes a geometry-optimized ZrTiAl structure. The functional is PBE.

abc: 4.713 4.713 2.862
angles: 90.00 90.00 120.00
Element x y z (fractional)
Zr  0.000  0.000  0.000
Ti  0.667  0.333  0.000
Al  0.333  0.667  0.500

## Properties
- Energy of formation from the pure elements: -0.09 eV/atom
- Space-group type: P-6m2, No. 187

***

# 6
This record from the Alexandria database describes a geometry-optimized CaAc2TbSb4 structure. The functional is PBE.

abc: 7.905 4.673 8.122
angles: 90.00 109.90 90.00
Element x y z (fractional)
Ca  0.000  0.000  0.000
Ac  0.500  0.000  0.500
Ac  0.500  0.500  0.000
Tb  0.000  0.500  0.500
Sb  0.229  0.000  0.738
Sb  0.232  0.500  0.249
Sb  0.768  0.500  0.751
Sb  0.771  0.000  0.262

## Properties
- Space-group type: P2/m, No. 10
- Energy relative to the elements, uncorrected: -1.0541 eV per atom

***

# 7
This record from the Alexandria database describes a geometry-optimized Ba6Tl2O structure. The functional is PBE.

abc: 8.067 8.067 8.113
angles: 119.97 119.97 59.98
Element x y z (fractional)
Ba  0.195  0.715  0.692
Ba  0.238  0.238  0.826
Ba  0.285  0.805  0.308
Ba  0.715  0.195  0.692
Ba  0.762  0.762  0.174
Ba  0.805  0.285  0.308
Tl  0.252  0.252  0.266
Tl  0.748  0.748  0.734
O  0.000  0.000  0.500

## Properties
- Space-group type: C2/m, No. 12
- Energy relative to the elements, uncorrected: -0.7344 eV per atom

***

# 8
This record from the Alexandria database describes a geometry-optimized CrSiPb2 structure. The functional is PBE.

abc: 10.120 3.637 5.397
angles: 90.00 107.67 90.00
Element x y z (fractional)
Cr  0.000  0.000  0.000
Cr  0.500  0.500  0.000
Si  0.000  0.500  0.500
Si  0.500  0.000  0.500
Pb  0.247  0.000  0.747
Pb  0.253  0.500  0.253
Pb  0.747  0.500  0.747
Pb  0.753  0.000  0.253

## Properties
- Space-group type: C2/m, No. 12
- Energy relative to the elements, uncorrected: 0.6379 eV per atom

***

# 9
This record from the Alexandria database describes a geometry-optimized LiPrTmMg structure. The functional is PBE.

abc: 7.611 7.611 7.611
angles: 90.00 90.00 90.00
Element x y z (fractional)
Li  0.000  0.000  0.000
Li  0.000  0.500  0.500
Li  0.500  0.000  0.500
Li  0.500  0.500  0.000
Pr  0.250  0.250  0.250
Pr  0.250  0.750  0.750
Pr  0.750  0.250  0.750
Pr  0.750  0.750  0.250
Tm  0.250  0.250  0.750
Tm  0.250  0.750  0.250
Tm  0.750  0.250  0.250
Tm  0.750  0.750  0.750
Mg  0.000  0.000  0.500
Mg  0.000  0.500  0.000
Mg  0.500  0.000  0.000
Mg  0.500  0.500  0.500

## Properties
- Energy of formation from the pure elements: 0.03 eV/atom
- Space-group type: F-43m, No. 216

***

# 10
This record from the Alexandria database describes a geometry-optimized NpI2Br3 structure. The functional is PBE.

abc: 15.255 8.259 5.634
angles: 90.00 111.56 90.00
Element x y z (fractional)
Np  0.000  0.000  0.000
Np  0.500  0.500  0.000
I  0.145  0.245  0.144
I  0.145  0.755  0.144
I  0.645  0.255  0.144
I  0.645  0.745  0.144
Br  0.003  0.000  0.503
Br  0.370  0.272  0.870
Br  0.370  0.728  0.870
Br  0.503  0.500  0.503
Br  0.870  0.228  0.870
Br  0.870  0.772  0.870

## Properties
- Space-group type: Cm, No. 8
- Energy relative to the elements, uncorrected: -0.8615 eV per atom

***

# 11
This record from the Alexandria database describes a geometry-optimized PrAlGa2Cu structure. The functional is PBE.

abc: 4.178 4.178 10.892
angles: 90.00 90.00 90.00
Element x y z (fractional)
Pr  0.000  0.000  0.000
Pr  0.500  0.500  0.500
Al  0.000  0.500  0.250
Al  0.500  0.000  0.750
Ga  0.000  0.000  0.385
Ga  0.000  0.000  0.615
Ga  0.500  0.500  0.115
Ga  0.500  0.500  0.885
Cu  0.000  0.500  0.750
Cu  0.500  0.000  0.250

## Properties
- Energy of formation from the pure elements: -0.51 eV/atom
- Space-group type: I-4m2, No. 119

***

# 12
This record from the Alexandria database describes a geometry-optimized Mg2Cd2F7 structure. The functional is PBE.

abc: 5.133 5.133 5.344
angles: 90.00 90.00 99.35
Element x y z (fractional)
Mg  0.227  0.773  0.000
Mg  0.773  0.227  0.000
Cd  0.281  0.281  0.500
Cd  0.719  0.719  0.500
F  0.000  0.000  0.232
F  0.000  0.000  0.768
F  0.000  0.500  0.237
F  0.000  0.500  0.763
F  0.500  0.000  0.237
F  0.500  0.000  0.763
F  0.500  0.500  0.000

## Properties
- Space-group type: Cmmm, No. 65
- Energy relative to the elements, uncorrected: -2.6816 eV per atom